Density functional theory data (PBE) for a relaxed BaTiBeHg2 crystal.

D(E_F), states/eV per atom: 2.46
Final energy, eV/cell: -6.32
Formation energy, meV/atom: 1565

a = 6.0806 Å, b = 6.0806 Å, c = 5.4636 Å
α = 90.00°, β = 90.00°, γ = 90.00°
Fractional coordinates of all 5 atoms:
Ba1 0.0000 0.0000 0.0000
Ti1 0.5000 0.5000 0.5000
Be1 0.0000 0.0000 0.5000
Hg1 0.0000 0.5000 0.0000
Hg2 0.5000 0.0000 0.0000